No. 1
A relaxed structure of Na4Ga2NiPd, computed with PBE.

a = 4.691 Å, b = 4.691 Å, c = 6.648 Å
α = 90.00°, β = 90.00°, γ = 90.00°
Sites, in units of the cell vectors:
Na: 0.000 0.000 0.000
Na: 0.000 0.500 0.746
Na: 0.500 0.000 0.254
Na: 0.500 0.500 0.500
Ga: 0.000 0.500 0.262
Ga: 0.500 0.000 0.738
Ni: 0.000 0.000 0.500
Pd: 0.500 0.500 0.000

Computed properties:
- crystal system = tetragonal
- mass density (g cm⁻³) = 4.50
- total magnetic moment (μB/cell) = 0.0
- total energy (eV/atom) = -2.74

No. 2
A relaxed structure of Na2Zn2Ga2NiPd, computed with PBE.

a = 4.448 Å, b = 4.448 Å, c = 6.337 Å
α = 90.00°, β = 90.00°, γ = 90.00°
Sites, in units of the cell vectors:
Na: 0.000 0.000 0.000
Na: 0.500 0.500 0.500
Zn: 0.000 0.500 0.736
Zn: 0.500 0.000 0.264
Ga: 0.000 0.500 0.264
Ga: 0.500 0.000 0.736
Ni: 0.000 0.000 0.500
Pd: 0.500 0.500 0.000

Computed properties:
- crystal system = tetragonal
- mass density (g cm⁻³) = 6.38
- total magnetic moment (μB/cell) = 0.0
- total energy (eV/atom) = -2.84

Q: Which value of total magnetic moment does entry 2 give?
A: 0.0 μB/cell

Q: What is the mass density in the first record?
A: 4.50 g cm⁻³